No. 1
Entry from Alexandria via LeMat-Bulk: crystalline Ba8LiNi2 at its relaxed geometry (PBE-GGA).

a = 10.2067 Å, b = 10.2067 Å, c = 6.6525 Å
α = 90.00°, β = 90.00°, γ = 120.00°
Space group P-3 (No. 147)
Inequivalent atoms, fractional coordinates:
Ba: 0.1703 0.3427 0.2426 x6
Ba: 0.3333 0.6667 0.7434 x2
Li: 0.0000 0.0000 0.5000 x1
Ni: 0.3333 0.6667 0.2541 x2

Its energy relative to the elements is 2.26 eV/f.u. The calculation puts the total magnetic moment at 0.0 Bohr magnetons per cell.


No. 2
Entry from Alexandria via LeMat-Bulk: crystalline BaLi2Ni at its relaxed geometry (PBE-GGA).

a = 3.609 Å, b = 3.609 Å, c = 7.383 Å
α = 90.00°, β = 90.00°, γ = 90.00°
Space group P4mm (No. 99)
Inequivalent atoms, fractional coordinates:
Ba: 0.000 0.000 0.000 x1
Li: 0.000 0.000 0.586 x1
Li: 0.500 0.500 0.401 x1
Ni: 0.500 0.500 0.743 x1

Its energy relative to the elements is 0.70 eV/f.u. As for the distance to the lowest polymorph of the same formula: 82 meV/atom. The calculation puts the total magnetic moment at 0.0 Bohr magnetons per cell.


No. 3
Entry from Alexandria via LeMat-Bulk: crystalline BaLiNi at its relaxed geometry (PBE-GGA).

a = 4.4678 Å, b = 4.4678 Å, c = 4.5483 Å
α = 90.00°, β = 90.00°, γ = 120.00°
Space group P3m1 (No. 156)
Inequivalent atoms, fractional coordinates:
Ba: 0.0000 0.0000 0.0000 x1
Li: 0.6667 0.3333 0.4999 x1
Ni: 0.3333 0.6667 0.5021 x1

Its energy relative to the elements is 0.51 eV/f.u. As for the distance to the lowest polymorph of the same formula: 137 meV/atom. The calculation puts the total magnetic moment at 0.0 Bohr magnetons per cell.


No. 4
Entry from Alexandria via LeMat-Bulk: crystalline BaLi2Ni at its relaxed geometry (PBE-GGA).

a = 3.677 Å, b = 3.677 Å, c = 6.566 Å
α = 90.00°, β = 90.00°, γ = 90.00°
Space group P4/mmm (No. 123)
Inequivalent atoms, fractional coordinates:
Ba: 0.000 0.000 0.000 x1
Li: 0.500 0.500 0.332 x2
Ni: 0.000 0.000 0.500 x1

Its energy relative to the elements is 1.19 eV/f.u. As for the distance to the lowest polymorph of the same formula: 206 meV/atom. The calculation puts the total magnetic moment at 0.0 Bohr magnetons per cell.


No. 5
Entry from Alexandria via LeMat-Bulk: crystalline BaLiNi at its relaxed geometry (PBE-GGA).

a = 7.054 Å, b = 7.054 Å, c = 7.054 Å
α = 90.00°, β = 90.00°, γ = 90.00°
Space group F-43m (No. 216)
Inequivalent atoms, fractional coordinates:
Ba: 0.000 0.000 0.000 x4
Li: 0.000 0.000 0.500 x4
Ni: 0.250 0.250 0.750 x4

Its energy relative to the elements is 0.88 eV/f.u. As for the distance to the lowest polymorph of the same formula: 261 meV/atom. The calculation puts the total magnetic moment at 1.7 Bohr magnetons per cell.


No. 6
Entry from Alexandria via LeMat-Bulk: crystalline BaLiNi at its relaxed geometry (PBE-GGA).

a = 4.520 Å, b = 17.951 Å, c = 4.604 Å
α = 90.00°, β = 90.00°, γ = 90.00°
Space group Cmc2_1 (No. 36)
Inequivalent atoms, fractional coordinates:
Ba: 0.000 0.150 0.000 x4
Li: 0.000 0.463 0.052 x4
Ni: 0.000 0.010 0.320 x4

Its energy relative to the elements is 0.16 eV/f.u. As for the distance to the lowest polymorph of the same formula: 20 meV/atom. The calculation puts the total magnetic moment at 0.6 Bohr magnetons per cell.


No. 7
Entry from Alexandria via LeMat-Bulk: crystalline BaLiNi at its relaxed geometry (PBE-GGA).

a = 4.252 Å, b = 6.441 Å, c = 6.612 Å
α = 91.02°, β = 108.70°, γ = 109.04°
Space group P1 (No. 1)
Inequivalent atoms, fractional coordinates:
Ba: 0.000 0.000 0.000 x1
Ba: 0.485 0.380 0.584 x1
Li: 0.168 0.798 0.538 x1
Li: 0.835 0.517 0.148 x1
Ni: 0.266 0.596 0.932 x1
Ni: 0.524 0.758 0.289 x1

Its energy relative to the elements is 0.30 eV/f.u. As for the distance to the lowest polymorph of the same formula: 67 meV/atom. The calculation puts the total magnetic moment at 0.0 Bohr magnetons per cell.


No. 8
Entry from Alexandria via LeMat-Bulk: crystalline BaLiNi at its relaxed geometry (PBE-GGA).

a = 14.091 Å, b = 4.205 Å, c = 5.859 Å
α = 90.00°, β = 100.49°, γ = 90.00°
Space group C2/m (No. 12)
Inequivalent atoms, fractional coordinates:
Ba: 0.129 0.000 0.322 x4
Li: 0.109 0.500 0.822 x4
Ni: 0.233 0.000 0.914 x4

Its energy relative to the elements is 0.12 eV/f.u. As for the distance to the lowest polymorph of the same formula: 9 meV/atom. The calculation puts the total magnetic moment at 0.0 Bohr magnetons per cell.


No. 9
Entry from Alexandria via LeMat-Bulk: crystalline BaLiNi at its relaxed geometry (PBE-GGA).

a = 7.152 Å, b = 7.152 Å, c = 7.152 Å
α = 90.00°, β = 90.00°, γ = 90.00°
Space group F-43m (No. 216)
Inequivalent atoms, fractional coordinates:
Ba: 0.000 0.000 0.000 x4
Li: 0.250 0.250 0.750 x4
Ni: 0.250 0.250 0.250 x4

Its energy relative to the elements is 2.12 eV/f.u. As for the distance to the lowest polymorph of the same formula: 673 meV/atom. The calculation puts the total magnetic moment at 2.3 Bohr magnetons per cell.


No. 10
Entry from Alexandria via LeMat-Bulk: crystalline BaLi2Ni at its relaxed geometry (PBE-GGA).

a = 4.810 Å, b = 4.810 Å, c = 18.238 Å
α = 90.00°, β = 90.00°, γ = 90.00°
Space group I-42d (No. 122)
Inequivalent atoms, fractional coordinates:
Ba: 0.000 0.000 0.000 x4
Li: 0.002 0.250 0.625 x8
Ni: 0.000 0.000 0.500 x4

Its energy relative to the elements is 0.99 eV/f.u. As for the distance to the lowest polymorph of the same formula: 153 meV/atom. The calculation puts the total magnetic moment at 0.0 Bohr magnetons per cell.


No. 11
Entry from Alexandria via LeMat-Bulk: crystalline BaLi2Ni at its relaxed geometry (PBE-GGA).

a = 5.173 Å, b = 5.173 Å, c = 7.391 Å
α = 90.00°, β = 90.00°, γ = 90.00°
Space group I-4m2 (No. 119)
Inequivalent atoms, fractional coordinates:
Ba: 0.000 0.000 0.000 x2
Li: 0.000 0.000 0.500 x2
Li: 0.000 0.500 0.750 x2
Ni: 0.000 0.500 0.250 x2

Its energy relative to the elements is 1.07 eV/f.u. As for the distance to the lowest polymorph of the same formula: 174 meV/atom. The calculation puts the total magnetic moment at 0.0 Bohr magnetons per cell.


No. 12
Entry from Alexandria via LeMat-Bulk: crystalline BaLiNi2 at its relaxed geometry (PBE-GGA).

a = 3.323 Å, b = 3.323 Å, c = 7.665 Å
α = 90.00°, β = 90.00°, γ = 90.00°
Space group P4mm (No. 99)
Inequivalent atoms, fractional coordinates:
Ba: 0.000 0.000 0.000 x1
Li: 0.500 0.500 0.401 x1
Ni: 0.000 0.000 0.617 x1
Ni: 0.500 0.500 0.709 x1

Its energy relative to the elements is 1.30 eV/f.u. As for the distance to the lowest polymorph of the same formula: 273 meV/atom. The calculation puts the total magnetic moment at 1.2 Bohr magnetons per cell.


No. 13
Entry from Alexandria via LeMat-Bulk: crystalline BaLiNi2 at its relaxed geometry (PBE-GGA).

a = 6.118 Å, b = 6.132 Å, c = 4.098 Å
α = 90.00°, β = 90.00°, γ = 90.00°
Space group Cmmm (No. 65)
Inequivalent atoms, fractional coordinates:
Ba: 0.000 0.000 0.000 x2
Li: 0.000 0.500 0.000 x2
Ni: 0.250 0.250 0.500 x4

Its energy relative to the elements is 1.74 eV/f.u. As for the distance to the lowest polymorph of the same formula: 382 meV/atom. The calculation puts the total magnetic moment at 0.0 Bohr magnetons per cell.


No. 14
Entry from Alexandria via LeMat-Bulk: crystalline BaLi2Ni at its relaxed geometry (PBE-GGA).

a = 5.890 Å, b = 10.976 Å, c = 4.236 Å
α = 90.00°, β = 133.82°, γ = 90.00°
Space group C2/m (No. 12)
Inequivalent atoms, fractional coordinates:
Ba: 0.000 0.000 0.000 x2
Li: 0.250 0.250 0.500 x4
Ni: 0.000 0.500 0.000 x2

Its energy relative to the elements is 1.17 eV/f.u. As for the distance to the lowest polymorph of the same formula: 199 meV/atom. The calculation puts the total magnetic moment at 0.0 Bohr magnetons per cell.